Here is a relaxed LiCaMoF6 crystal from Alexandria via LeMat-Bulk. Energies are from PBE+U.

Cell and atoms, written as POSCAR:
```
LiCaMoF6
1.0
5.020 0.000 0.000
0.000 5.020 0.000
0.000 0.000 10.088
F Ca Li Mo
12 2 2 2
Direct
0.684 0.684 0.997
0.797 0.203 0.826
0.816 0.184 0.497
0.301 0.301 0.677
0.703 0.703 0.326
0.297 0.297 0.326
0.801 0.199 0.177
0.184 0.816 0.497
0.203 0.797 0.826
0.316 0.316 0.997
0.199 0.801 0.177
0.699 0.699 0.677
0.000 0.000 0.999
0.500 0.500 0.499
0.000 0.000 0.668
0.500 0.500 0.168
0.000 0.000 0.333
0.500 0.500 0.833
```

The volume comes out at 254 Å³/cell. As for the magnetic moment: 3.0 μB per formula unit. The final energy is -5.5839 eV per atom.